No. 1
DFT (GGA-PBE) results for a geometry-optimized Ta2Os2Pb structure.

Lattice parameters (Å, degrees): 7.7763 7.7763 3.0439 90.00 90.00 90.00
Space group P4/mbm (No. 127)
One atom of each set of equivalent atoms:
Ta: 0.1516 0.3484 0.0000
Os: 0.1346 0.6346 0.5000
Pb: 0.0000 0.0000 0.5000

Computed properties:
Crystal system: tetragonal
Total moment: 0.0 μB per formula unit
Calculated volume: 184.1 Å³ per cell
DFT formation energy: 0.0739 eV per atom
Offset from the most stable computed form: 0.00 eV/f.u.


No. 2
DFT (GGA-PBE) results for a geometry-optimized LiTl2In structure.

Lattice parameters (Å, degrees): 3.4037 5.0141 6.2003 90.00 97.81 90.00
Space group P2/m (No. 10)
One atom of each set of equivalent atoms:
Li: 0.0000 0.0000 0.0000
Tl: 0.2301 0.5000 0.7600
In: 0.5000 0.0000 0.5000

Computed properties:
Crystal system: monoclinic
Total moment: 0.0 μB per formula unit
Calculated volume: 104.8 Å³ per cell
DFT formation energy: -0.0601 eV per atom


No. 3
DFT (GGA-PBE) results for a geometry-optimized La2TmSe2O2 structure.

Lattice parameters (Å, degrees): 4.3183 4.3183 15.7749 90.00 90.00 90.00
Space group I4/mmm (No. 139)
One atom of each set of equivalent atoms:
La: 0.0000 0.0000 0.1270
Tm: 0.0000 0.0000 0.5000
Se: 0.0000 0.0000 0.3223
O: 0.0000 0.5000 0.0000

Computed properties:
Crystal system: tetragonal
Total moment: 0.0 μB per formula unit
Calculated volume: 294.2 Å³ per cell
ΔE_f (raw): -2579 meV per atom


Which value of calculated volume does entry 3 give? 294.2 Å³ per cell


Please write out number 2 again, unchanged.
DFT (GGA-PBE) results for a geometry-optimized LiTl2In structure.

Lattice parameters (Å, degrees): 3.4037 5.0141 6.2003 90.00 97.81 90.00
Space group P2/m (No. 10)
One atom of each set of equivalent atoms:
Li: 0.0000 0.0000 0.0000
Tl: 0.2301 0.5000 0.7600
In: 0.5000 0.0000 0.5000

Computed properties:
Crystal system: monoclinic
Total moment: 0.0 μB per formula unit
Calculated volume: 104.8 Å³ per cell
DFT formation energy: -0.0601 eV per atom


Which of these has the highest calculated volume? La2TmSe2O2